Compound: BeTe2PtI
Source: the Alexandria database
Functional: PBE-GGA
Structure: relaxed

The calculation puts the energy relative to the lowest polymorph listed for this composition at 0.0 kJ per mole of atoms. The uncorrected formation energy is 0.770 eV/atom. Its space-group type is P4/mmm. The total energy is -2.75 eV/atom. As for the magnetic moment: 0.00 μB per cell.

Cell: 4.9719 4.9719 4.8754 Å, 90.00 90.00 90.00°
Element x y z (fractional)
Be: 0.0000 0.0000 0.0000
Te: 0.0000 0.5000 0.0000
Te: 0.5000 0.0000 0.0000
Pt: 0.5000 0.5000 0.5000
I: 0.0000 0.0000 0.5000